HoTmCo2Te2 (GGA-PBE, optimized geometry); spin magnetization = 0.000 μB per atom; symmetry = Pm (6); final energy = -5.66 eV/atom
1.0
8.840 0.000 0.000
0.000 4.420 0.000
-4.419 0.000 12.501
Tm Te Co Ho
4 8 8 4
direct
0.062 0.000 0.625
0.812 0.000 0.125
0.938 0.500 0.875
0.312 0.000 0.125
0.062 0.500 0.124
0.562 0.500 0.125
0.437 0.000 0.374
0.311 0.500 0.625
0.186 0.000 0.875
0.814 0.500 0.626
0.689 0.000 0.876
0.937 0.000 0.375
0.000 0.000 0.000
0.875 0.500 0.249
0.374 0.500 0.249
0.626 0.500 0.751
0.751 0.000 0.500
0.249 0.000 0.500
0.500 0.000 0.001
0.124 0.500 0.750
0.187 0.500 0.375
0.438 0.500 0.875
0.688 0.500 0.375
0.563 0.000 0.625